The following is a DFT calculation (PBE-GGA) of a geometry-optimized SrMgGa2Au5 structure.

```
SrMgGa2Au5
1.0
4.901 0.000 0.000
0.000 4.901 0.000
0.000 0.000 8.965
Sr Mg Ga Au
1 1 2 5
Cartesian
0.000 0.000 0.000
0.000 0.000 4.482
2.450 2.450 2.497
2.450 2.450 6.468
0.000 2.450 3.013
0.000 2.450 5.952
2.450 0.000 3.013
2.450 0.000 5.952
2.450 2.450 0.000
```

Output
Theoretical density (g/cm3): 9.534
E_form (eV/atom): -0.355
Uncorrected energy (eV/f.u.): -28.914
Space-group type: P4/mmm